A | TaBeCl2 | PBEsol | optimized geometry

As for the density of states at the Fermi level: 4.4 states/eV per cell.

Cell and atoms, written as CIF:
```
data_TaBeCl2
_chemical_formula_sum 'Ta2 Be2 Cl4'
_symmetry_space_group_name_H-M 'I 4/m m m'
_symmetry_Int_Tables_number 139
_symmetry_space_group_name_Hall '-I 4 2'
_cell_length_a 4.009
_cell_length_b 4.009
_cell_length_c 7.197
_cell_angle_alpha 90.00
_cell_angle_beta 90.00
_cell_angle_gamma 90.00
loop_
_atom_site_label
_atom_site_type_symbol
_atom_site_fract_x
_atom_site_fract_y
_atom_site_fract_z
Ta1 Ta 0.000 0.000 0.000
Be1 Be 0.000 0.000 0.500
Cl1 Cl 0.000 0.500 0.250
```

B | TaBeCl2 | PBEsol | optimized geometry

As for the density of states at the Fermi level: 3.5 states/eV per cell.

Cell and atoms, written as CIF:
```
data_TaBeCl2
_chemical_formula_sum 'Ta2 Be2 Cl4'
_symmetry_space_group_name_H-M 'I m m m'
_symmetry_Int_Tables_number 71
_symmetry_space_group_name_Hall '-I 2 2'
_cell_length_a 3.154
_cell_length_b 3.728
_cell_length_c 13.566
_cell_angle_alpha 90.00
_cell_angle_beta 90.00
_cell_angle_gamma 90.00
loop_
_atom_site_label
_atom_site_type_symbol
_atom_site_fract_x
_atom_site_fract_y
_atom_site_fract_z
Ta1 Ta 0.000 0.000 0.000
Be1 Be 0.000 0.000 0.500
Cl1 Cl 0.000 0.500 0.357
```

Order of stability, best first: B, A

A | BeTeCl2 | PBEsol | optimized geometry

As for the density of states at the Fermi level: 3.9 states/eV per cell.

Cell and atoms, written as CIF:
```
data_BeTeCl2
_chemical_formula_sum 'Be4 Te4 Cl8'
_symmetry_space_group_name_H-M 'I -4 2 d'
_symmetry_Int_Tables_number 122
_symmetry_space_group_name_Hall 'I -4 2bw'
_cell_length_a 6.450
_cell_length_b 6.450
_cell_length_c 8.913
_cell_angle_alpha 90.00
_cell_angle_beta 90.00
_cell_angle_gamma 90.00
loop_
_atom_site_label
_atom_site_type_symbol
_atom_site_fract_x
_atom_site_fract_y
_atom_site_fract_z
Be1 Be 0.000 0.000 0.000
Te1 Te 0.000 0.000 0.500
Cl1 Cl 0.058 0.250 0.125
```

B | BeTeCl2 | PBEsol | optimized geometry

As for the density of states at the Fermi level: 0.1 states/eV per cell.

Cell and atoms, written as CIF:
```
data_BeTeCl2
_chemical_formula_sum 'Be1 Te1 Cl2'
_symmetry_space_group_name_H-M 'P 1 m 1'
_symmetry_Int_Tables_number 6
_symmetry_space_group_name_Hall 'P -2y'
_cell_length_a 5.039
_cell_length_b 3.921
_cell_length_c 5.727
_cell_angle_alpha 90.00
_cell_angle_beta 109.41
_cell_angle_gamma 90.00
loop_
_atom_site_label
_atom_site_type_symbol
_atom_site_fract_x
_atom_site_fract_y
_atom_site_fract_z
Be1 Be 0.000 0.000 0.000
Te1 Te 0.833 0.500 0.737
Cl1 Cl 0.152 0.000 0.342
Cl2 Cl 0.431 0.500 0.895
```

C | BeTeCl2 | PBEsol | optimized geometry

As for the density of states at the Fermi level: 1.2 states/eV per cell.

Cell and atoms, written as CIF:
```
data_BeTeCl2
_chemical_formula_sum 'Be1 Te1 Cl2'
_symmetry_space_group_name_H-M 'P m m m'
_symmetry_Int_Tables_number 47
_symmetry_space_group_name_Hall '-P 2 2'
_cell_length_a 3.242
_cell_length_b 4.428
_cell_length_c 5.522
_cell_angle_alpha 90.00
_cell_angle_beta 90.00
_cell_angle_gamma 90.00
loop_
_atom_site_label
_atom_site_type_symbol
_atom_site_fract_x
_atom_site_fract_y
_atom_site_fract_z
Be1 Be 0.000 0.000 0.000
Te1 Te 0.500 0.000 0.500
Cl1 Cl 0.000 0.500 0.500
Cl2 Cl 0.500 0.500 0.000
```

Order of stability, best first: B, A, C

A | YBe2Cl | PBEsol | optimized geometry

As for the density of states at the Fermi level: 5.2 states/eV per cell.

Cell and atoms, written as CIF:
```
data_YBe2Cl
_chemical_formula_sum 'Y2 Be4 Cl2'
_symmetry_space_group_name_H-M 'C m m m'
_symmetry_Int_Tables_number 65
_symmetry_space_group_name_Hall '-C 2 2'
_cell_length_a 5.078
_cell_length_b 8.686
_cell_length_c 3.329
_cell_angle_alpha 90.00
_cell_angle_beta 90.00
_cell_angle_gamma 90.00
loop_
_atom_site_label
_atom_site_type_symbol
_atom_site_fract_x
_atom_site_fract_y
_atom_site_fract_z
Y1 Y 0.000 0.000 0.000
Be1 Be 0.250 0.250 0.500
Cl1 Cl 0.000 0.500 0.000
```

B | YBe2Cl | PBEsol | optimized geometry

As for the density of states at the Fermi level: 8.9 states/eV per cell.

Cell and atoms, written as CIF:
```
data_YBe2Cl
_chemical_formula_sum 'Y3 Be6 Cl3'
_symmetry_space_group_name_H-M 'R -3 m'
_symmetry_Int_Tables_number 166
_symmetry_space_group_name_Hall '-R 3 2"'
_cell_length_a 3.1649
_cell_length_b 3.1649
_cell_length_c 24.2051
_cell_angle_alpha 90.00
_cell_angle_beta 90.00
_cell_angle_gamma 120.00
loop_
_atom_site_label
_atom_site_type_symbol
_atom_site_fract_x
_atom_site_fract_y
_atom_site_fract_z
Y1 Y 0.0000 0.0000 0.0000
Be1 Be 0.0000 0.0000 0.2367
Cl1 Cl 0.0000 0.0000 0.5000
```

C | YBe2Cl | PBEsol | optimized geometry

As for the density of states at the Fermi level: 2.7 states/eV per cell.

Cell and atoms, written as CIF:
```
data_YBe2Cl
_chemical_formula_sum 'Y1 Be2 Cl1'
_symmetry_space_group_name_H-M 'P 4/m m m'
_symmetry_Int_Tables_number 123
_symmetry_space_group_name_Hall '-P 4 2'
_cell_length_a 3.621
_cell_length_b 3.621
_cell_length_c 5.282
_cell_angle_alpha 90.00
_cell_angle_beta 90.00
_cell_angle_gamma 90.00
loop_
_atom_site_label
_atom_site_type_symbol
_atom_site_fract_x
_atom_site_fract_y
_atom_site_fract_z
Y1 Y 0.000 0.000 0.000
Be1 Be 0.000 0.500 0.500
Cl1 Cl 0.500 0.500 0.000
```

Order of stability, best first: C, A, B

A | Y2BeCl | PBEsol | optimized geometry

As for the density of states at the Fermi level: 2.2 states/eV per cell.

Cell and atoms, written as CIF:
```
data_Y2BeCl
_chemical_formula_sum 'Y2 Be1 Cl1'
_symmetry_space_group_name_H-M 'P 4/m m m'
_symmetry_Int_Tables_number 123
_symmetry_space_group_name_Hall '-P 4 2'
_cell_length_a 3.280
_cell_length_b 3.280
_cell_length_c 7.594
_cell_angle_alpha 90.00
_cell_angle_beta 90.00
_cell_angle_gamma 90.00
loop_
_atom_site_label
_atom_site_type_symbol
_atom_site_fract_x
_atom_site_fract_y
_atom_site_fract_z
Y1 Y 0.000 0.000 0.220
Be1 Be 0.500 0.500 0.000
Cl1 Cl 0.500 0.500 0.500
```

B | Y2BeCl | PBEsol | optimized geometry

As for the density of states at the Fermi level: 8.2 states/eV per cell.

Cell and atoms, written as CIF:
```
data_Y2BeCl
_chemical_formula_sum 'Y6 Be3 Cl3'
_symmetry_space_group_name_H-M 'R -3 m'
_symmetry_Int_Tables_number 166
_symmetry_space_group_name_Hall '-R 3 2"'
_cell_length_a 3.8033
_cell_length_b 3.8033
_cell_length_c 20.4305
_cell_angle_alpha 90.00
_cell_angle_beta 90.00
_cell_angle_gamma 120.00
loop_
_atom_site_label
_atom_site_type_symbol
_atom_site_fract_x
_atom_site_fract_y
_atom_site_fract_z
Y1 Y 0.0000 0.0000 0.2457
Be1 Be 0.0000 0.0000 0.5000
Cl1 Cl 0.0000 0.0000 0.0000
```

C | Y2BeCl | PBEsol | optimized geometry

As for the density of states at the Fermi level: 17.1 states/eV per cell.

Cell and atoms, written as CIF:
```
data_Y2BeCl
_chemical_formula_sum 'Y8 Be4 Cl4'
_symmetry_space_group_name_H-M 'I -4 2 d'
_symmetry_Int_Tables_number 122
_symmetry_space_group_name_Hall 'I -4 2bw'
_cell_length_a 5.775
_cell_length_b 5.775
_cell_length_c 13.189
_cell_angle_alpha 90.00
_cell_angle_beta 90.00
_cell_angle_gamma 90.00
loop_
_atom_site_label
_atom_site_type_symbol
_atom_site_fract_x
_atom_site_fract_y
_atom_site_fract_z
Y1 Y 0.237 0.250 0.125
Be1 Be 0.000 0.000 0.000
Cl1 Cl 0.000 0.000 0.500
```

Order of stability, best first: B, A, C

A | Zr2BeCl | PBEsol | optimized geometry

As for the density of states at the Fermi level: 2.9 states/eV per cell.

Cell and atoms, written as CIF:
```
data_Zr2BeCl
_chemical_formula_sum 'Zr2 Be1 Cl1'
_symmetry_space_group_name_H-M 'P m m m'
_symmetry_Int_Tables_number 47
_symmetry_space_group_name_Hall '-P 2 2'
_cell_length_a 3.233
_cell_length_b 4.168
_cell_length_c 5.313
_cell_angle_alpha 90.00
_cell_angle_beta 90.00
_cell_angle_gamma 90.00
loop_
_atom_site_label
_atom_site_type_symbol
_atom_site_fract_x
_atom_site_fract_y
_atom_site_fract_z
Zr1 Zr 0.000 0.000 0.000
Zr2 Zr 0.500 0.000 0.500
Be1 Be 0.000 0.500 0.500
Cl1 Cl 0.500 0.500 0.000
```

B | Zr2BeCl | PBEsol | optimized geometry

As for the density of states at the Fermi level: 1.5 states/eV per cell.

Cell and atoms, written as CIF:
```
data_Zr2BeCl
_chemical_formula_sum 'Zr2 Be1 Cl1'
_symmetry_space_group_name_H-M 'P m m m'
_symmetry_Int_Tables_number 47
_symmetry_space_group_name_Hall '-P 2 2'
_cell_length_a 3.177
_cell_length_b 4.129
_cell_length_c 5.092
_cell_angle_alpha 90.00
_cell_angle_beta 90.00
_cell_angle_gamma 90.00
loop_
_atom_site_label
_atom_site_type_symbol
_atom_site_fract_x
_atom_site_fract_y
_atom_site_fract_z
Zr1 Zr 0.000 0.000 0.000
Zr2 Zr 0.500 0.500 0.500
Be1 Be 0.000 0.000 0.500
Cl1 Cl 0.500 0.500 0.000
```

C | Zr2BeCl | PBEsol | optimized geometry

As for the density of states at the Fermi level: 4.4 states/eV per cell.

Cell and atoms, written as CIF:
```
data_Zr2BeCl
_chemical_formula_sum 'Zr2 Be1 Cl1'
_symmetry_space_group_name_H-M 'P 4/m m m'
_symmetry_Int_Tables_number 123
_symmetry_space_group_name_Hall '-P 4 2'
_cell_length_a 4.700
_cell_length_b 4.700
_cell_length_c 2.973
_cell_angle_alpha 90.00
_cell_angle_beta 90.00
_cell_angle_gamma 90.00
loop_
_atom_site_label
_atom_site_type_symbol
_atom_site_fract_x
_atom_site_fract_y
_atom_site_fract_z
Zr1 Zr 0.000 0.500 0.000
Be1 Be 0.000 0.000 0.500
Cl1 Cl 0.500 0.500 0.500
```

Order of stability, best first: B, C, A

A | Zr2BeCl | PBEsol | optimized geometry

As for the density of states at the Fermi level: 14.5 states/eV per cell.

Cell and atoms, written as CIF:
```
data_Zr2BeCl
_chemical_formula_sum 'Zr8 Be4 Cl4'
_symmetry_space_group_name_H-M 'F -4 3 m'
_symmetry_Int_Tables_number 216
_symmetry_space_group_name_Hall 'F -4 2 3'
_cell_length_a 6.523
_cell_length_b 6.523
_cell_length_c 6.523
_cell_angle_alpha 90.00
_cell_angle_beta 90.00
_cell_angle_gamma 90.00
loop_
_atom_site_label
_atom_site_type_symbol
_atom_site_fract_x
_atom_site_fract_y
_atom_site_fract_z
Zr1 Zr 0.000 0.000 0.000
Zr2 Zr 0.250 0.250 0.250
Be1 Be 0.250 0.250 0.750
Cl1 Cl 0.000 0.000 0.500
```

B | Zr2BeCl | PBEsol | optimized geometry

As for the density of states at the Fermi level: 2.2 states/eV per cell.

Cell and atoms, written as CIF:
```
data_Zr2BeCl
_chemical_formula_sum 'Zr2 Be1 Cl1'
_symmetry_space_group_name_H-M 'P 4 m m'
_symmetry_Int_Tables_number 99
_symmetry_space_group_name_Hall 'P 4 -2'
_cell_length_a 3.078
_cell_length_b 3.078
_cell_length_c 8.797
_cell_angle_alpha 90.00
_cell_angle_beta 90.00
_cell_angle_gamma 90.00
loop_
_atom_site_label
_atom_site_type_symbol
_atom_site_fract_x
_atom_site_fract_y
_atom_site_fract_z
Zr1 Zr 0.000 0.000 0.000
Zr2 Zr 0.500 0.500 0.274
Be1 Be 0.000 0.000 0.452
Cl1 Cl 0.500 0.500 0.818
```

Order of stability, best first: B, A

A | BeCo5 | PBEsol | optimized geometry

As for the density of states at the Fermi level: 11.6 states/eV per cell.

Cell and atoms, written as CIF:
```
data_BeCo5
_chemical_formula_sum 'Be2 Co10'
_symmetry_space_group_name_H-M 'C 1 m 1'
_symmetry_Int_Tables_number 8
_symmetry_space_group_name_Hall 'C -2y'
_cell_length_a 8.860
_cell_length_b 2.468
_cell_length_c 5.606
_cell_angle_alpha 90.00
_cell_angle_beta 105.56
_cell_angle_gamma 90.00
loop_
_atom_site_label
_atom_site_type_symbol
_atom_site_fract_x
_atom_site_fract_y
_atom_site_fract_z
Be1 Be 0.000 0.000 0.000
Co1 Co 0.051 0.000 0.602
Co2 Co 0.167 0.500 0.329
Co3 Co 0.213 0.500 0.933
Co4 Co 0.336 0.000 0.672
Co5 Co 0.386 0.000 0.260
```

B | BeCo5 | PBEsol | optimized geometry

As for the density of states at the Fermi level: 6.1 states/eV per cell.

Cell and atoms, written as CIF:
```
data_BeCo5
_chemical_formula_sum 'Be1 Co5'
_symmetry_space_group_name_H-M 'P 4/m m m'
_symmetry_Int_Tables_number 123
_symmetry_space_group_name_Hall '-P 4 2'
_cell_length_a 2.484
_cell_length_b 2.484
_cell_length_c 9.452
_cell_angle_alpha 90.00
_cell_angle_beta 90.00
_cell_angle_gamma 90.00
loop_
_atom_site_label
_atom_site_type_symbol
_atom_site_fract_x
_atom_site_fract_y
_atom_site_fract_z
Be1 Be 0.000 0.000 0.000
Co1 Co 0.000 0.000 0.319
Co2 Co 0.500 0.500 0.146
Co3 Co 0.500 0.500 0.500
```

Order of stability, best first: B, A

A | BeCo5 | PBEsol | optimized geometry

As for the density of states at the Fermi level: 8.2 states/eV per cell.

Cell and atoms, written as CIF:
```
data_BeCo5
_chemical_formula_sum 'Be1 Co5'
_symmetry_space_group_name_H-M 'P 6/m m m'
_symmetry_Int_Tables_number 191
_symmetry_space_group_name_Hall '-P 6 2'
_cell_length_a 4.4321
_cell_length_b 4.4321
_cell_length_c 4.0436
_cell_angle_alpha 90.00
_cell_angle_beta 90.00
_cell_angle_gamma 120.00
loop_
_atom_site_label
_atom_site_type_symbol
_atom_site_fract_x
_atom_site_fract_y
_atom_site_fract_z
Be1 Be 0.0000 0.0000 0.0000
Co1 Co 0.0000 0.5000 0.5000
Co2 Co 0.3333 0.6667 0.0000
```

B | BeCo5 | PBEsol | optimized geometry

As for the density of states at the Fermi level: 14.1 states/eV per cell.

Cell and atoms, written as CIF:
```
data_BeCo5
_chemical_formula_sum 'Be2 Co10'
_symmetry_space_group_name_H-M 'C m m m'
_symmetry_Int_Tables_number 65
_symmetry_space_group_name_Hall '-C 2 2'
_cell_length_a 3.456
_cell_length_b 9.989
_cell_length_c 3.443
_cell_angle_alpha 90.00
_cell_angle_beta 90.00
_cell_angle_gamma 90.00
loop_
_atom_site_label
_atom_site_type_symbol
_atom_site_fract_x
_atom_site_fract_y
_atom_site_fract_z
Be1 Be 0.000 0.000 0.000
Co1 Co 0.000 0.164 0.500
Co2 Co 0.000 0.333 0.000
Co3 Co 0.000 0.500 0.500
```

Order of stability, best first: B, A